# 1
# TeC2

TeC2 after structural relaxation (PBEsol, Alexandria via LeMat-Bulk).

Unit cell a=4.216 b=4.216 c=4.216 alpha=118.53 beta=118.53 gamma=92.57
Element x y z (fractional)
Te: 0.000 0.000 0.000
C: 0.390 0.390 0.000
C: 0.610 0.610 0.000

Calculated values
For the total magnetic moment, the calculation gives 0.0 Bohr magnetons per cell. As for the total energy: -17.02 eV for the cell shown. Its uncorrected formation energy is 186.3 kJ/mol of atoms. The offset from the most stable computed form comes out at 383 meV per atom. As for the crystal system: tetragonal.

---

# 2
# TeC

TeC after structural relaxation (PBEsol, Alexandria via LeMat-Bulk).

Unit cell a=5.814 b=5.814 c=3.330 alpha=90.00 beta=90.00 gamma=120.00
Element x y z (fractional)
Te: 0.000 0.000 0.000
Te: 0.333 0.667 0.500
Te: 0.667 0.333 0.500
C: 0.000 0.382 0.000
C: 0.382 0.000 0.000
C: 0.618 0.618 0.000

Calculated values
For the total magnetic moment, the calculation gives 0.0 Bohr magnetons per cell. As for the total energy: -28.54 eV for the cell shown. Its uncorrected formation energy is 176.4 kJ/mol of atoms. The offset from the most stable computed form comes out at 357 meV per atom. As for the crystal system: hexagonal.

---

# 3
# TeC2

TeC2 after structural relaxation (PBEsol, Alexandria via LeMat-Bulk).

Unit cell a=3.303 b=3.303 c=3.774 alpha=90.00 beta=90.00 gamma=120.00
Element x y z (fractional)
Te: 0.000 0.000 0.000
C: 0.333 0.667 0.657
C: 0.667 0.333 0.343

Calculated values
For the total magnetic moment, the calculation gives 0.0 Bohr magnetons per cell. As for the total energy: -15.37 eV for the cell shown. Its uncorrected formation energy is 239.4 kJ/mol of atoms. The offset from the most stable computed form comes out at 933 meV per atom. As for the crystal system: trigonal.

---

# 4
# Te3C4

Te3C4 after structural relaxation (PBEsol, Alexandria via LeMat-Bulk).

Unit cell a=10.963 b=10.963 c=10.963 alpha=161.85 beta=161.85 gamma=25.77
Element x y z (fractional)
Te: 0.000 0.000 0.000
Te: 0.310 0.310 0.000
Te: 0.690 0.690 0.000
C: 0.209 0.209 0.000
C: 0.469 0.469 0.000
C: 0.531 0.531 0.000
C: 0.791 0.791 0.000

Calculated values
For the total magnetic moment, the calculation gives 0.0 Bohr magnetons per cell. As for the total energy: -36.54 eV for the cell shown. Its uncorrected formation energy is 173.8 kJ/mol of atoms. The offset from the most stable computed form comes out at 0 meV per atom. As for the crystal system: tetragonal.

---

# 5
# Te2C

Te2C after structural relaxation (PBEsol, Alexandria via LeMat-Bulk).

Unit cell a=4.367 b=4.367 c=3.209 alpha=90.00 beta=90.00 gamma=90.00
Element x y z (fractional)
Te: 0.000 0.500 0.000
Te: 0.500 0.000 0.000
C: 0.000 0.000 0.500

Calculated values
For the total magnetic moment, the calculation gives 0.0 Bohr magnetons per cell. As for the total energy: -11.85 eV for the cell shown. Its uncorrected formation energy is 155.9 kJ/mol of atoms. The offset from the most stable computed form comes out at 450 meV per atom. As for the crystal system: tetragonal.

---

# 6
# TeC2

TeC2 after structural relaxation (PBEsol, Alexandria via LeMat-Bulk).

Unit cell a=4.573 b=4.573 c=4.573 alpha=41.84 beta=41.84 gamma=41.84
Element x y z (fractional)
Te: 0.000 0.000 0.000
C: 0.230 0.230 0.230
C: 0.770 0.770 0.770

Calculated values
For the total magnetic moment, the calculation gives 0.0 Bohr magnetons per cell. As for the total energy: -14.64 eV for the cell shown. Its uncorrected formation energy is 262.9 kJ/mol of atoms. The offset from the most stable computed form comes out at 1177 meV per atom. As for the crystal system: trigonal.